Here is a geometry-optimized Pa2TcNi structure from the Alexandria database. Energies are from PBE.

Cell: 3.356 3.356 6.910 Å, 90.00 90.00 90.00°
Fractional coordinates of all 4 atoms:
Pa 0.000 0.000 0.242
Pa 0.000 0.000 0.758
Tc 0.500 0.500 0.500
Ni 0.500 0.500 0.000

Computed properties:
ΔE_f in eV per formula unit: -0.71
Symmetry: P4/mmm, No. 123
DOS(E_F) in states/eV/cell: 6.61
Electronic total energy in eV/atom: -8.961
Offset from the most stable computed form in meV per atom: 157
M_tot in μB per atom: 0.0000

=====

Here is a geometry-optimized CdRhW2 structure from the Alexandria database. Energies are from PBE.

Cell: 9.712 9.712 9.712 Å, 16.70 16.70 16.70°
Fractional coordinates of all 4 atoms:
Cd 0.000 0.000 0.000
Rh 0.500 0.500 0.500
W 0.244 0.244 0.244
W 0.756 0.756 0.756

Computed properties:
ΔE_f in eV per formula unit: 1.23
Symmetry: R-3m, No. 166
DOS(E_F) in states/eV/cell: 4.41
Electronic total energy in eV/atom: -8.236
M_tot in μB per atom: 0.0000

=====

Here is a geometry-optimized Tl2RuPbI structure from the Alexandria database. Energies are from PBE.

Cell: 5.322 5.322 5.462 Å, 90.00 90.00 90.00°
Fractional coordinates of all 5 atoms:
Tl 0.000 0.500 0.000
Tl 0.500 0.000 0.000
Ru 0.000 0.000 0.000
Pb 0.500 0.500 0.500
I 0.000 0.000 0.500

Computed properties:
Symmetry: P4/mmm, No. 123
DOS(E_F) in states/eV/cell: 5.70
Electronic total energy in eV/atom: -3.409
M_tot in μB per atom: 0.0002

=====

Here is a geometry-optimized ZrPtBr structure from the Alexandria database. Energies are from PBE.

Cell: 4.603 4.603 3.270 Å, 90.00 90.00 120.00°
Fractional coordinates of all 3 atoms:
Zr 0.000 0.000 0.000
Pt 0.333 0.667 0.501
Br 0.667 0.333 0.003

Computed properties:
Symmetry: P3m1, No. 156
DOS(E_F) in states/eV/cell: 2.64
Electronic total energy in eV/atom: -5.766
Offset from the most stable computed form in meV per atom: 391
M_tot in μB per atom: 0.0000

=====

Here is a geometry-optimized Sm5MgPb4 structure from the Alexandria database. Energies are from PBE.

Cell: 9.261 9.261 7.734 Å, 94.89 94.89 28.84°
Fractional coordinates of all 10 atoms:
Sm 0.000 0.000 0.000
Sm 0.284 0.284 0.844
Sm 0.373 0.373 0.301
Sm 0.627 0.627 0.699
Sm 0.716 0.716 0.156
Mg 0.000 0.000 0.500
Pb 0.184 0.184 0.435
Pb 0.450 0.450 0.726
Pb 0.550 0.550 0.274
Pb 0.816 0.816 0.565

Computed properties:
ΔE_f in eV per formula unit: -2.20
Symmetry: C2/m, No. 12
DOS(E_F) in states/eV/cell: 9.68
Electronic total energy in eV/atom: -4.222
M_tot in μB per atom: 0.0000

=====

Here is a geometry-optimized Sm3Tl4GeTe8 structure from the Alexandria database. Energies are from PBE.

Cell: 9.512 9.512 9.512 Å, 56.57 56.57 56.57°
Fractional coordinates of all 16 atoms:
Sm 0.000 0.500 0.500
Sm 0.500 0.000 0.500
Sm 0.500 0.500 0.000
Tl 0.000 0.000 0.500
Tl 0.000 0.500 0.000
Tl 0.500 0.000 0.000
Tl 0.500 0.500 0.500
Ge 0.000 0.000 0.000
Te 0.233 0.233 0.747
Te 0.233 0.747 0.233
Te 0.253 0.767 0.767
Te 0.259 0.259 0.259
Te 0.741 0.741 0.741
Te 0.747 0.233 0.233
Te 0.767 0.253 0.767
Te 0.767 0.767 0.253

Computed properties:
Symmetry: R-3m, No. 166
DOS(E_F) in states/eV/cell: 9.91
Electronic total energy in eV/atom: -4.152
M_tot in μB per atom: 0.0000

=====

Here is a geometry-optimized HoTm4Sc4 structure from the Alexandria database. Energies are from PBE.

Cell: 6.684 6.684 11.722 Å, 90.00 90.00 90.00°
Fractional coordinates of all 18 atoms:
Ho 0.250 0.750 0.250
Ho 0.750 0.250 0.750
Tm 0.008 0.250 0.022
Tm 0.250 0.008 0.522
Tm 0.250 0.492 0.522
Tm 0.492 0.250 0.022
Tm 0.508 0.750 0.978
Tm 0.750 0.508 0.478
Tm 0.750 0.992 0.478
Tm 0.992 0.750 0.978
Sc 0.033 0.250 0.306
Sc 0.250 0.033 0.806
Sc 0.250 0.467 0.806
Sc 0.467 0.250 0.306
Sc 0.533 0.750 0.694
Sc 0.750 0.533 0.194
Sc 0.750 0.967 0.194
Sc 0.967 0.750 0.694

Computed properties:
ΔE_f in eV per formula unit: 2.57
Symmetry: P4_2/nmc, No. 137
DOS(E_F) in states/eV/cell: 32.25
Electronic total energy in eV/atom: -5.025
Offset from the most stable computed form in meV per atom: 233
M_tot in μB per atom: 0.0003

=====

Here is a geometry-optimized LiTmScFe structure from the Alexandria database. Energies are from PBE.

Cell: 4.662 4.662 4.662 Å, 60.00 60.00 60.00°
Fractional coordinates of all 4 atoms:
Li 0.000 0.000 0.000
Tm 0.750 0.750 0.750
Sc 0.250 0.250 0.250
Fe 0.500 0.500 0.500

Computed properties:
ΔE_f in eV per formula unit: 0.14
Symmetry: F-43m, No. 216
DOS(E_F) in states/eV/cell: 3.13
Electronic total energy in eV/atom: -5.261
M_tot in μB per atom: 0.0001

=====

Here is a geometry-optimized Tb2ScCd5 structure from the Alexandria database. Energies are from PBE.

Cell: 8.305 8.305 8.305 Å, 144.69 144.69 50.80°
Fractional coordinates of all 8 atoms:
Tb 0.241 0.241 0.000
Tb 0.759 0.759 0.000
Sc 0.500 0.500 0.000
Cd 0.000 0.000 0.000
Cd 0.114 0.614 0.500
Cd 0.386 0.886 0.500
Cd 0.614 0.114 0.500
Cd 0.886 0.386 0.500

Computed properties:
ΔE_f in eV per formula unit: -2.19
Symmetry: I4/mmm, No. 139
DOS(E_F) in states/eV/cell: 4.36
Electronic total energy in eV/atom: -2.794
M_tot in μB per atom: 0.0161

=====

Here is a geometry-optimized Ba5SnHg2 structure from the Alexandria database. Energies are from PBE.

Cell: 10.320 10.320 10.320 Å, 126.67 126.67 78.79°
Fractional coordinates of all 16 atoms:
Ba 0.000 0.000 0.000
Ba 0.023 0.523 0.839
Ba 0.184 0.023 0.500
Ba 0.316 0.816 0.839
Ba 0.477 0.316 0.500
Ba 0.500 0.500 0.000
Ba 0.523 0.684 0.500
Ba 0.684 0.184 0.161
Ba 0.816 0.977 0.500
Ba 0.977 0.477 0.161
Sn 0.250 0.250 0.000
Sn 0.750 0.750 0.000
Hg 0.124 0.376 0.500
Hg 0.376 0.876 0.251
Hg 0.624 0.124 0.749
Hg 0.876 0.624 0.500

Computed properties:
ΔE_f in eV per formula unit: -3.53
Symmetry: I4/mcm, No. 140
DOS(E_F) in states/eV/cell: 20.99
Electronic total energy in eV/atom: -2.219
M_tot in μB per atom: 0.0819

=====

Here is a geometry-optimized BaCd2SnRh structure from the Alexandria database. Energies are from PBE.

Cell: 5.282 5.282 5.113 Å, 90.00 90.00 90.00°
Fractional coordinates of all 5 atoms:
Ba 0.000 0.000 0.000
Cd 0.000 0.500 0.500
Cd 0.500 0.000 0.500
Sn 0.500 0.500 0.000
Rh 0.500 0.500 0.500

Computed properties:
ΔE_f in eV per formula unit: -1.80
Symmetry: P4/mmm, No. 123
DOS(E_F) in states/eV/cell: 4.34
Electronic total energy in eV/atom: -3.381
M_tot in μB per atom: 0.0000

=====

Here is a geometry-optimized Pm5In2Se12 structure from the Alexandria database. Energies are from PBE.

Cell: 8.819 8.819 9.251 Å, 101.98 101.98 52.18°
Fractional coordinates of all 19 atoms:
Pm 0.000 0.000 0.000
Pm 0.290 0.290 0.150
Pm 0.325 0.325 0.695
Pm 0.675 0.675 0.305
Pm 0.710 0.710 0.850
In 0.246 0.754 0.500
In 0.754 0.246 0.500
Se 0.033 0.033 0.708
Se 0.067 0.563 0.428
Se 0.105 0.601 0.939
Se 0.399 0.895 0.061
Se 0.437 0.933 0.572
Se 0.486 0.486 0.289
Se 0.514 0.514 0.711
Se 0.563 0.067 0.428
Se 0.601 0.105 0.939
Se 0.895 0.399 0.061
Se 0.933 0.437 0.572
Se 0.967 0.967 0.292

Computed properties:
Symmetry: C2/m, No. 12
DOS(E_F) in states/eV/cell: 6.35
Electronic total energy in eV/atom: -4.997
M_tot in μB per atom: 0.0000

=====

Here is a geometry-optimized Pr12DyEr6 structure from the Alexandria database. Energies are from PBE.

Cell: 9.626 9.626 9.626 Å, 110.88 110.88 110.88°
Fractional coordinates of all 19 atoms:
Pr 0.058 0.580 0.372
Pr 0.104 0.157 0.737
Pr 0.157 0.737 0.104
Pr 0.263 0.896 0.843
Pr 0.372 0.058 0.580
Pr 0.420 0.628 0.942
Pr 0.580 0.372 0.058
Pr 0.628 0.942 0.420
Pr 0.737 0.104 0.157
Pr 0.843 0.263 0.896
Pr 0.896 0.843 0.263
Pr 0.942 0.420 0.628
Dy 0.000 0.000 0.000
Er 0.215 0.318 0.471
Er 0.318 0.471 0.215
Er 0.471 0.215 0.318
Er 0.529 0.785 0.682
Er 0.682 0.529 0.785
Er 0.785 0.682 0.529

Computed properties:
ΔE_f in eV per formula unit: 0.35
Symmetry: R-3, No. 148
DOS(E_F) in states/eV/cell: 26.96
Electronic total energy in eV/atom: -4.683
Offset from the most stable computed form in meV per atom: 0
M_tot in μB per atom: 0.0000

=====

Here is a geometry-optimized TlV2SbSe structure from the Alexandria database. Energies are from PBE.

Cell: 4.801 4.801 5.770 Å, 90.00 90.00 90.00°
Fractional coordinates of all 5 atoms:
Tl 0.000 0.000 0.000
V 0.000 0.500 0.500
V 0.500 0.000 0.500
Sb 0.500 0.500 0.000
Se 0.000 0.000 0.500

Computed properties:
Symmetry: P4/mmm, No. 123
DOS(E_F) in states/eV/cell: 5.64
Electronic total energy in eV/atom: -5.062
M_tot in μB per atom: 1.1902

=====

Here is a geometry-optimized Sr2TlPb2 structure from the Alexandria database. Energies are from PBE.

Cell: 6.735 6.735 12.267 Å, 114.67 114.67 45.04°
Fractional coordinates of all 10 atoms:
Sr 0.021 0.021 0.322
Sr 0.181 0.181 0.096
Sr 0.819 0.819 0.904
Sr 0.979 0.979 0.678
Tl 0.257 0.257 0.701
Tl 0.743 0.743 0.299
Pb 0.351 0.351 0.467
Pb 0.469 0.469 0.111
Pb 0.531 0.531 0.889
Pb 0.649 0.649 0.533

Computed properties:
ΔE_f in eV per formula unit: -2.14
Symmetry: C2/m, No. 12
DOS(E_F) in states/eV/cell: 2.94
Electronic total energy in eV/atom: -3.058
Offset from the most stable computed form in meV per atom: 0
M_tot in μB per atom: 0.0000

=====

Here is a geometry-optimized Rb3TcI6 structure from the Alexandria database. Energies are from PBE.

Cell: 8.764 8.764 8.764 Å, 60.00 60.00 60.00°
Fractional coordinates of all 10 atoms:
Rb 0.000 0.000 0.000
Rb 0.250 0.250 0.250
Rb 0.750 0.750 0.750
Tc 0.500 0.500 0.500
I 0.278 0.278 0.722
I 0.278 0.722 0.278
I 0.278 0.722 0.722
I 0.722 0.278 0.278
I 0.722 0.278 0.722
I 0.722 0.722 0.278

Computed properties:
Symmetry: Fm-3m, No. 225
DOS(E_F) in states/eV/cell: 14.76
Electronic total energy in eV/atom: -3.071
M_tot in μB per atom: 0.2000

=====

Here is a geometry-optimized TlCd2InH structure from the Alexandria database. Energies are from PBE.

Cell: 4.683 4.683 4.967 Å, 90.00 90.00 90.00°
Fractional coordinates of all 5 atoms:
Tl 0.000 0.000 0.000
Cd 0.000 0.500 0.500
Cd 0.500 0.000 0.500
In 0.500 0.500 0.000
H 0.500 0.500 0.500

Computed properties:
Symmetry: P4/mmm, No. 123
DOS(E_F) in states/eV/cell: 1.43
Electronic total energy in eV/atom: -1.814
M_tot in μB per atom: 0.0000

=====

Here is a geometry-optimized BRh2Au structure from the Alexandria database. Energies are from PBE.

Cell: 7.689 7.689 7.689 Å, 21.56 21.56 21.56°
Fractional coordinates of all 4 atoms:
B 0.000 0.000 0.000
Rh 0.274 0.274 0.274
Rh 0.726 0.726 0.726
Au 0.500 0.500 0.500

Computed properties:
ΔE_f in eV per formula unit: -0.61
Symmetry: R-3m, No. 166
DOS(E_F) in states/eV/cell: 2.48
Electronic total energy in eV/atom: -6.318
M_tot in μB per atom: 0.0000

=====

Here is a geometry-optimized FePCl structure from the Alexandria database. Energies are from PBE.

Cell: 6.891 6.891 6.891 Å, 155.88 155.88 34.37°
Fractional coordinates of all 3 atoms:
Fe 0.000 0.000 0.000
P 0.396 0.396 0.000
Cl 0.619 0.619 0.000

Computed properties:
Symmetry: I4mm, No. 107
DOS(E_F) in states/eV/cell: 1.02
Electronic total energy in eV/atom: -5.159
Offset from the most stable computed form in meV per atom: 491
M_tot in μB per atom: 0.6912

=====

Here is a geometry-optimized Rb3RhS structure from the Alexandria database. Energies are from PBE.

Cell: 6.346 6.346 6.346 Å, 90.00 90.00 90.00°
Fractional coordinates of all 5 atoms:
Rb 0.000 0.000 0.500
Rb 0.000 0.500 0.000
Rb 0.500 0.000 0.000
Rh 0.500 0.500 0.500
S 0.000 0.000 0.000

Computed properties:
Symmetry: Pm-3m, No. 221
DOS(E_F) in states/eV/cell: 15.65
Electronic total energy in eV/atom: -2.698
Offset from the most stable computed form in meV per atom: 0
M_tot in μB per atom: 0.4000

=====

Here is a geometry-optimized AgSb2Os structure from the Alexandria database. Energies are from PBE.

Cell: 10.166 10.166 10.166 Å, 18.08 18.08 18.08°
Fractional coordinates of all 4 atoms:
Ag 0.000 0.000 0.000
Sb 0.255 0.255 0.255
Sb 0.471 0.471 0.471
Os 0.740 0.740 0.740

Computed properties:
Symmetry: R3m, No. 160
DOS(E_F) in states/eV/cell: 4.47
Electronic total energy in eV/atom: -5.034
Offset from the most stable computed form in meV per atom: 229
M_tot in μB per atom: 0.0874

=====

Here is a geometry-optimized Na2TlPd structure from the Alexandria database. Energies are from PBE.

Cell: 10.350 10.350 10.350 Å, 18.27 18.27 18.27°
Fractional coordinates of all 4 atoms:
Na 0.000 0.000 0.000
Na 0.190 0.190 0.190
Tl 0.761 0.761 0.761
Pd 0.595 0.595 0.595

Computed properties:
ΔE_f in eV per formula unit: 0.05
Symmetry: R3m, No. 160
DOS(E_F) in states/eV/cell: 1.92
Electronic total energy in eV/atom: -2.537
M_tot in μB per atom: 0.0000

=====

Here is a geometry-optimized Ca4SnGe3Pd12 structure from the Alexandria database. Energies are from PBE.

Cell: 8.294 8.294 8.294 Å, 109.47 109.47 109.47°
Fractional coordinates of all 20 atoms:
Ca 0.000 0.000 0.500
Ca 0.000 0.500 0.000
Ca 0.500 0.000 0.000
Ca 0.500 0.500 0.500
Sn 0.000 0.000 0.000
Ge 0.000 0.500 0.500
Ge 0.500 0.000 0.500
Ge 0.500 0.500 0.000
Pd 0.000 0.260 0.260
Pd 0.000 0.740 0.740
Pd 0.250 0.500 0.750
Pd 0.250 0.750 0.500
Pd 0.260 0.000 0.260
Pd 0.260 0.260 0.000
Pd 0.500 0.250 0.750
Pd 0.500 0.750 0.250
Pd 0.740 0.000 0.740
Pd 0.740 0.740 0.000
Pd 0.750 0.250 0.500
Pd 0.750 0.500 0.250

Computed properties:
ΔE_f in eV per formula unit: -7.20
Symmetry: Im-3m, No. 229
DOS(E_F) in states/eV/cell: 10.05
Electronic total energy in eV/atom: -4.769
M_tot in μB per atom: 0.0000

=====

Here is a geometry-optimized TaFe2As structure from the Alexandria database. Energies are from PBE.

Cell: 4.672 4.672 4.161 Å, 111.73 111.73 41.33°
Fractional coordinates of all 4 atoms:
Ta 0.000 0.000 0.000
Fe 0.240 0.240 0.734
Fe 0.760 0.760 0.266
As 0.500 0.500 0.500

Computed properties:
ΔE_f in eV per formula unit: -0.02
Symmetry: C2/m, No. 12
DOS(E_F) in states/eV/cell: 3.63
Electronic total energy in eV/atom: -8.361
M_tot in μB per atom: 0.7306